The following is a DFT calculation (PBE) of a geometry-optimized ScBi3S structure.

Lattice parameters (Å, degrees): 5.3582 5.3582 5.3582 90.00 90.00 90.00
Space group Pm-3m (No. 221)
Inequivalent atoms, fractional coordinates:
Sc: 0.0000 0.0000 0.0000 [1 per cell]
Bi: 0.0000 0.5000 0.5000 [3 per cell]
S: 0.5000 0.5000 0.5000 [1 per cell]

Offset from the most stable computed form ... 0.00 eV per formula unit